4
Lattice="2.997 0.000 0.000 0.000 2.997 0.000 0.000 0.000 7.701" Properties=species:S:1:pos:R:3 comment="Zr2BeZn, relaxed, DFT PBE-GGA" density_kg_m3=6168 total_magnetization_mub_per_cell=0.00 spacegroup="No. 99" delta_e_f_ev_per_atom=-0.04 pbc="T T T"
Zr 0.000 0.000 0.000
Zr 1.498 1.498 2.435
Be 0.000 0.000 4.328
Zn 1.498 1.498 5.570